The following is a PBE calculation of TiCdTcC2 after structural relaxation, from the Alexandria database.

Results
The energy of formation is 1915 meV/atom. The total energy is -0.4123 Ry/atom.

Cell lengths 4.009, 5.255, 4.009 Å; angles 90.00, 90.00, 90.00 degrees
Each line ends with the local moment (μB).
Atoms (fractional coordinates):
Ti: 0.000 0.000 0.000  -0.12
Tc: 0.500 0.500 0.500  2.64
C: 0.500 0.000 0.000  0.01
Cd: 0.000 0.500 0.000  -0.06
C: 0.000 0.000 0.500  0.00



The following is a PBE calculation of Nd3TmSb3 after structural relaxation, from the Alexandria database.

Results
Its energy above the most stable polymorph in this dataset is 0 kJ/mol of formula units. The calculation puts the uncorrected formation energy at -7.11 eV/f.u. The total energy is -0.4017 Ry/atom.

Cell lengths 9.413, 9.413, 9.413 Å; angles 90.00, 90.00, 90.00 degrees
Atoms (fractional coordinates):
Sb: 0.758 0.629 0.997
Nd: 0.934 0.934 0.934
Sb: 0.258 0.871 0.003
Nd: 0.324 0.176 0.824
Sb: 0.629 0.997 0.758
Nd: 0.321 0.821 0.679
Nd: 0.676 0.676 0.676
Sb: 0.503 0.242 0.129
Nd: 0.821 0.679 0.321
Nd: 0.566 0.066 0.434
Nd: 0.179 0.179 0.179
Sb: 0.129 0.503 0.242
Sb: 0.003 0.258 0.871
Sb: 0.242 0.129 0.503
Tm: 0.073 0.573 0.927
Sb: 0.871 0.003 0.258
Sb: 0.742 0.371 0.497
Sb: 0.497 0.742 0.371
Nd: 0.434 0.566 0.066
Tm: 0.427 0.427 0.427
Sb: 0.997 0.758 0.629
Nd: 0.176 0.824 0.324
Nd: 0.679 0.321 0.821
Tm: 0.927 0.073 0.573
Sb: 0.371 0.497 0.742
Tm: 0.573 0.927 0.073
Nd: 0.066 0.434 0.566
Nd: 0.824 0.324 0.176



The following is a PBE calculation of Li2TlSb after structural relaxation, from the Alexandria database.

Results
The calculation puts the uncorrected formation energy at 0.22 eV/f.u. The total energy is -0.1855 Ry/atom.

Cell lengths 6.283, 6.283, 6.283 Å; angles 60.59, 138.43, 137.99 degrees
Atoms (fractional coordinates):
Li: 0.000 0.244 0.244
Sb: 0.000 0.000 0.000
Tl: 0.000 0.500 0.500
Li: 0.000 0.756 0.756



The following is a PBE calculation of ZnNiAu2 after structural relaxation, from the Alexandria database.

Results
The energy of formation is -31 meV/atom. The total energy is -0.2524 Ry/atom.

Cell lengths 2.939, 4.831, 5.479 Å; angles 53.01, 90.00, 90.00 degrees
Atoms (fractional coordinates):
Au: 0.000 0.000 0.000
Ni: 0.500 0.500 0.500
Au: 0.500 0.500 0.000
Zn: 0.000 0.000 0.500



The following is a PBE calculation of Nd8P3IrI4 after structural relaxation, from the Alexandria database.

Results
The calculation puts the uncorrected formation energy at -19.62 eV/f.u. The total energy is -0.4091 Ry/atom.

Cell lengths 8.526, 9.121, 8.526 Å; angles 117.87, 120.00, 90.00 degrees
Atoms (fractional coordinates):
Nd: 0.264 0.310 0.037
P: 0.000 0.500 0.500
I: 0.000 0.000 0.000
Ir: 0.000 0.500 0.000
Nd: 0.270 0.309 0.539
I: 0.500 0.000 0.500
Nd: 0.227 0.690 0.454
I: 0.500 0.000 0.000
I: 0.000 0.000 0.500
Nd: 0.730 0.691 0.461
Nd: 0.736 0.690 0.963
Nd: 0.773 0.310 0.546
Nd: 0.227 0.690 0.963
P: 0.500 0.500 0.500
P: 0.500 0.500 0.000
Nd: 0.773 0.310 0.037



The following is a PBE calculation of VFe2Tc after structural relaxation, from the Alexandria database.

Results
Its energy above the most stable polymorph in this dataset is 0 kJ/mol of formula units. The energy of formation is -3 meV/atom. The total energy is -0.6693 Ry/atom.

Cell lengths 3.707, 3.645, 3.645 Å; angles 90.00, 90.00, 90.00 degrees
Each line ends with the local moment (μB).
Atoms (fractional coordinates):
Tc: 0.500 0.000 0.000  -0.10
Fe: 0.000 0.500 0.000  1.25
Fe: 0.000 0.000 0.500  1.25
V: 0.500 0.500 0.500  -0.43



The following is a PBE calculation of ThHRu after structural relaxation, from the Alexandria database.

Results
Its energy above the most stable polymorph in this dataset is 110 kJ/mol of formula units. The total energy is -0.4983 Ry/atom.

Cell lengths 3.687, 3.930, 3.930 Å; angles 120.00, 90.00, 90.00 degrees
Atoms (fractional coordinates):
Th: 0.666 0.333 0.667
Ru: 0.167 0.000 0.000
H: 0.167 0.667 0.333



The following is a PBE calculation of PRhSeO2 after structural relaxation, from the Alexandria database.

Results
Its energy above the most stable polymorph in this dataset is 0 kJ/mol of formula units. The calculation puts the uncorrected formation energy at -0.12 eV/f.u. The total energy is -0.3864 Ry/atom.

Cell lengths 3.739, 3.739, 5.475 Å; angles 90.00, 90.00, 90.00 degrees
Atoms (fractional coordinates):
O: 0.500 0.000 0.000
O: 0.000 0.500 0.000
P: 0.000 0.000 0.500
Se: 0.500 0.500 0.500
Rh: 0.000 0.000 0.000



The following is a PBE calculation of TeAsCl after structural relaxation, from the Alexandria database.

Results
The calculation puts the uncorrected formation energy at 0.25 eV/f.u. The total energy is -0.2300 Ry/atom.

Cell lengths 6.287, 6.287, 6.287 Å; angles 146.68, 146.68, 47.83 degrees
Atoms (fractional coordinates):
Cl: 0.345 0.345 0.000
Te: 0.637 0.637 0.000
As: 0.018 0.018 0.000



The following is a PBE calculation of ErSc3Al4 after structural relaxation, from the Alexandria database.

Results
The energy of formation is -427 meV/atom. The total energy is -0.3854 Ry/atom.

Cell lengths 5.111, 6.439, 9.814 Å; angles 90.00, 90.00, 90.00 degrees
Atoms (fractional coordinates):
Sc: 0.383 0.000 0.250
Al: 0.500 0.237 0.000
Sc: 0.000 0.000 0.500
Er: 0.000 0.500 0.000
Al: 0.126 0.763 0.750
Sc: 0.617 0.000 0.750
Al: 0.500 0.237 0.500
Al: 0.500 0.763 0.000
Al: 0.126 0.237 0.750
Er: 0.000 0.500 0.500
Sc: 0.000 0.000 0.000
Sc: 0.596 0.500 0.750
Al: 0.874 0.237 0.250
Sc: 0.404 0.500 0.250
Al: 0.500 0.763 0.500
Al: 0.874 0.763 0.250



The following is a PBE calculation of K2Li2NpN4 after structural relaxation, from the Alexandria database.

Results
The calculation puts the uncorrected formation energy at -4.21 eV/f.u. The total energy is -0.4612 Ry/atom.

Cell lengths 3.570, 6.498, 8.074 Å; angles 126.89, 90.00, 105.94 degrees
Each line ends with the local moment (μB).
Atoms (fractional coordinates):
Li: 0.659 0.318 0.936  0.01
N: 0.185 0.370 0.088  0.16
N: 0.546 0.092 0.201  0.20
Li: 0.341 0.682 0.064  0.01
N: 0.815 0.630 0.912  0.16
K: 0.834 0.669 0.427  0.01
N: 0.454 0.908 0.799  0.20
Np: 0.000 0.000 0.000  -0.10
K: 0.166 0.331 0.573  0.01



The following is a PBE calculation of TlSn3Pb6 after structural relaxation, from the Alexandria database.

Results
Its energy above the most stable polymorph in this dataset is 0 kJ/mol of formula units. The energy of formation is 22 meV/atom. The total energy is -0.2675 Ry/atom.

Cell lengths 3.467, 15.695, 11.488 Å; angles 103.03, 90.00, 90.00 degrees
Atoms (fractional coordinates):
Pb: 0.750 0.949 0.100
Tl: 0.750 0.052 0.399
Pb: 0.750 0.355 0.302
Sn: 0.250 0.350 0.798
Sn: 0.750 0.449 0.601
Sn: 0.750 0.650 0.202
Pb: 0.750 0.846 0.807
Pb: 0.750 0.745 0.496
Pb: 0.750 0.156 0.707
Pb: 0.250 0.255 0.504
Pb: 0.750 0.549 0.902
Tl: 0.250 0.948 0.601
Pb: 0.250 0.154 0.193
Pb: 0.250 0.451 0.098
Sn: 0.250 0.747 0.004
Sn: 0.250 0.551 0.399
Pb: 0.250 0.051 0.900
Sn: 0.750 0.253 0.996
Pb: 0.250 0.645 0.698
Pb: 0.250 0.844 0.293